Compound: HgIr2Rh
Source: Alexandria
Functional: GGA-PBE
Structure: optimized geometry

a b c (Å): 2.767 4.870 9.617
angles (deg): 90.00 90.00 90.00
Sites, in units of the cell vectors:
Hg 0.000 0.000 0.000
Hg 0.500 0.500 0.000
Ir 0.000 0.000 0.503
Ir 0.000 0.500 0.268
Ir 0.500 0.000 0.268
Ir 0.500 0.500 0.503
Rh 0.000 0.500 0.739
Rh 0.500 0.000 0.739

Calculated values
- crystal system = orthorhombic
- E (eV/atom) = -5.939

***

Compound: HgIrRh
Source: Alexandria
Functional: GGA-PBE
Structure: optimized geometry

a b c (Å): 2.865 2.865 6.932
angles (deg): 90.00 90.00 120.00
Sites, in units of the cell vectors:
Hg 0.000 0.000 0.000
Ir 0.333 0.667 0.356
Rh 0.667 0.333 0.653

Calculated values
- distance to the lowest polymorph of the same formula (meV per atom) = 38
- crystal system = trigonal
- E (eV/atom) = -5.199

***

Compound: HgIrRh
Source: Alexandria
Functional: GGA-PBE
Structure: optimized geometry

a b c (Å): 6.171 6.171 6.171
angles (deg): 90.00 90.00 90.00
Sites, in units of the cell vectors:
Hg 0.000 0.000 0.000
Hg 0.000 0.500 0.500
Hg 0.500 0.000 0.500
Hg 0.500 0.500 0.000
Ir 0.250 0.250 0.250
Ir 0.250 0.750 0.750
Ir 0.750 0.250 0.750
Ir 0.750 0.750 0.250
Rh 0.000 0.000 0.500
Rh 0.000 0.500 0.000
Rh 0.500 0.000 0.000
Rh 0.500 0.500 0.500

Calculated values
- distance to the lowest polymorph of the same formula (meV per atom) = 427
- crystal system = cubic
- E (eV/atom) = -4.811

***

Compound: HgIrRh
Source: Alexandria
Functional: GGA-PBE
Structure: optimized geometry

a b c (Å): 2.855 2.855 12.160
angles (deg): 90.00 90.00 90.00
Sites, in units of the cell vectors:
Hg 0.000 0.000 0.000
Hg 0.500 0.500 0.500
Ir 0.000 0.000 0.682
Ir 0.500 0.500 0.182
Rh 0.000 0.000 0.322
Rh 0.500 0.500 0.822

Calculated values
- distance to the lowest polymorph of the same formula (meV per atom) = 0
- crystal system = tetragonal
- E (eV/atom) = -5.237

***

Compound: HgIrRh2
Source: Alexandria
Functional: GGA-PBE
Structure: optimized geometry

a b c (Å): 2.864 4.710 4.746
angles (deg): 90.00 90.00 90.00
Sites, in units of the cell vectors:
Hg 0.000 0.000 0.000
Ir 0.500 0.000 0.500
Rh 0.000 0.500 0.500
Rh 0.500 0.500 0.000

Calculated values
- crystal system = orthorhombic
- E (eV/atom) = -5.509

***

Compound: HgIr2Rh
Source: Alexandria
Functional: GGA-PBE
Structure: optimized geometry

a b c (Å): 9.346 2.814 4.901
angles (deg): 90.00 99.97 90.00
Sites, in units of the cell vectors:
Hg 0.000 0.000 0.000
Hg 0.500 0.500 0.000
Ir 0.241 0.000 0.728
Ir 0.259 0.500 0.272
Ir 0.741 0.500 0.728
Ir 0.759 0.000 0.272
Rh 0.000 0.500 0.500
Rh 0.500 0.000 0.500

Calculated values
- crystal system = monoclinic
- E (eV/atom) = -6.042

***

Compound: HgIrRh2
Source: Alexandria
Functional: GGA-PBE
Structure: optimized geometry

a b c (Å): 2.824 2.824 7.957
angles (deg): 90.00 90.00 90.00
Sites, in units of the cell vectors:
Hg 0.000 0.000 0.000
Ir 0.500 0.500 0.279
Rh 0.000 0.000 0.502
Rh 0.500 0.500 0.730

Calculated values
- crystal system = tetragonal
- E (eV/atom) = -5.743

***

Compound: HgIrRh2
Source: Alexandria
Functional: GGA-PBE
Structure: optimized geometry

a b c (Å): 7.203 7.203 5.459
angles (deg): 90.00 90.00 90.00
Sites, in units of the cell vectors:
Hg 0.000 0.000 0.000
Hg 0.000 0.500 0.250
Hg 0.500 0.000 0.750
Hg 0.500 0.500 0.500
Ir 0.000 0.000 0.500
Ir 0.000 0.500 0.750
Ir 0.500 0.000 0.250
Ir 0.500 0.500 0.000
Rh 0.220 0.250 0.625
Rh 0.250 0.720 0.875
Rh 0.250 0.780 0.375
Rh 0.280 0.250 0.125
Rh 0.720 0.750 0.125
Rh 0.750 0.220 0.375
Rh 0.750 0.280 0.875
Rh 0.780 0.750 0.625

Calculated values
- crystal system = tetragonal
- E (eV/atom) = -5.317

***

Compound: HgIrRh2
Source: Alexandria
Functional: GGA-PBE
Structure: optimized geometry

a b c (Å): 2.816 2.816 7.989
angles (deg): 90.00 90.00 90.00
Sites, in units of the cell vectors:
Hg 0.000 0.000 0.000
Ir 0.000 0.000 0.500
Rh 0.500 0.500 0.274
Rh 0.500 0.500 0.726

Calculated values
- crystal system = tetragonal
- E (eV/atom) = -5.853

***

Compound: HgIr2Rh
Source: Alexandria
Functional: GGA-PBE
Structure: optimized geometry

a b c (Å): 7.331 7.331 5.291
angles (deg): 90.00 90.00 90.00
Sites, in units of the cell vectors:
Hg 0.000 0.000 0.000
Hg 0.000 0.500 0.250
Hg 0.500 0.000 0.750
Hg 0.500 0.500 0.500
Ir 0.216 0.250 0.625
Ir 0.250 0.716 0.875
Ir 0.250 0.784 0.375
Ir 0.284 0.250 0.125
Ir 0.716 0.750 0.125
Ir 0.750 0.216 0.375
Ir 0.750 0.284 0.875
Ir 0.784 0.750 0.625
Rh 0.000 0.000 0.500
Rh 0.000 0.500 0.750
Rh 0.500 0.000 0.250
Rh 0.500 0.500 0.000

Calculated values
- crystal system = tetragonal
- E (eV/atom) = -5.526

***

Compound: HgIrRh
Source: Alexandria
Functional: GGA-PBE
Structure: optimized geometry

a b c (Å): 2.794 4.931 14.492
angles (deg): 90.00 90.00 90.00
Sites, in units of the cell vectors:
Hg 0.000 0.000 0.000
Hg 0.000 0.500 0.500
Hg 0.500 0.000 0.500
Hg 0.500 0.500 0.000
Ir 0.000 0.000 0.675
Ir 0.000 0.500 0.175
Ir 0.500 0.000 0.175
Ir 0.500 0.500 0.675
Rh 0.000 0.000 0.328
Rh 0.000 0.500 0.828
Rh 0.500 0.000 0.828
Rh 0.500 0.500 0.328

Calculated values
- distance to the lowest polymorph of the same formula (meV per atom) = 132
- crystal system = orthorhombic
- E (eV/atom) = -5.105

***

Compound: HgIrRh2
Source: Alexandria
Functional: GGA-PBE
Structure: optimized geometry

a b c (Å): 4.016 4.016 3.910
angles (deg): 90.00 90.00 90.00
Sites, in units of the cell vectors:
Hg 0.000 0.000 0.000
Ir 0.500 0.500 0.000
Rh 0.000 0.500 0.500
Rh 0.500 0.000 0.500

Calculated values
- crystal system = tetragonal
- E (eV/atom) = -5.632